Na3MnAs | PBE-GGA | optimized geometry

Cell and atoms, written as POSCAR:
```
Na3MnAs
1.0
5.434 0.000 0.000
0.000 5.434 0.000
0.000 0.000 5.434
Na Mn As
3 1 1
Direct
0.500 0.000 0.000 Na
0.000 0.500 0.000 Na
0.000 0.000 0.500 Na
0.000 0.000 0.000 Mn
0.500 0.500 0.500 As
```

## Properties
V: 32.091 Å³ per atom
Space-group type: Pm-3m (221)
E: -2.72 eV per atom
Fermi-level density of states: 1.257 states/eV per cell